1.
Entry from the Alexandria database: a geometry-optimized TaTcW structure (PBE).

a b c (Å): 4.4805 4.4805 2.8000
angles (deg): 90.00 90.00 120.00
Space group P3m1 (No. 156)
Unique sites:
Ta1 0.0000 0.0000 0.0000 (multiplicity 1)
Tc1 0.6667 0.3333 0.3303 (multiplicity 1)
W1 0.3333 0.6667 0.6500 (multiplicity 1)

Computed properties:
electronic total energy = -11.82 eV per atom
E_form = -0.10 eV/atom
E above lowest polymorph = 86 meV/atom
size of the total moment = 0.000 μB per cell

2.
Entry from the Alexandria database: a geometry-optimized Ta6Tc5W structure (PBE).

a b c (Å): 4.518 6.393 13.569
angles (deg): 90.00 90.00 90.00
Space group Immm (No. 71)
Unique sites:
Ta1 0.000 0.249 0.000 (multiplicity 4)
Ta2 0.000 0.250 0.333 (multiplicity 8)
Tc1 0.000 0.000 0.167 (multiplicity 4)
Tc2 0.000 0.500 0.168 (multiplicity 4)
Tc3 0.000 0.500 0.500 (multiplicity 2)
W1 0.000 0.000 0.500 (multiplicity 2)

Computed properties:
electronic total energy = -11.75 eV per atom
E_form = -0.43 eV/atom
size of the total moment = 0.000 μB per cell

3.
Entry from the Alexandria database: a geometry-optimized TaTc4W structure (PBE).

a b c (Å): 7.238 7.238 7.238
angles (deg): 90.00 90.00 90.00
Space group F-43m (No. 216)
Unique sites:
Ta1 0.000 0.000 0.000 (multiplicity 4)
Tc1 0.126 0.126 0.626 (multiplicity 16)
W1 0.250 0.250 0.250 (multiplicity 4)

Computed properties:
electronic total energy = -10.98 eV per atom
E_form = 0.07 eV/atom
size of the total moment = 0.000 μB per cell

4.
Entry from the Alexandria database: a geometry-optimized TaTc2W structure (PBE).

a b c (Å): 3.151 4.578 8.792
angles (deg): 90.00 90.00 90.00
Space group Cmmm (No. 65)
Unique sites:
Ta1 0.000 0.000 0.000 (multiplicity 2)
Tc1 0.000 0.500 0.253 (multiplicity 4)
W1 0.000 0.000 0.500 (multiplicity 2)

Computed properties:
electronic total energy = -11.43 eV per atom
E_form = -0.04 eV/atom
size of the total moment = 0.000 μB per cell

5.
Entry from the Alexandria database: a geometry-optimized TaTc3W structure (PBE).

a b c (Å): 4.621 4.621 4.621
angles (deg): 90.00 90.00 90.00
Space group Pm-3m (No. 221)
Unique sites:
Ta1 0.000 0.000 0.000 (multiplicity 1)
Tc1 0.000 0.500 0.500 (multiplicity 3)
W1 0.500 0.500 0.500 (multiplicity 1)

Computed properties:
electronic total energy = -9.54 eV per atom
E_form = 1.64 eV/atom
E above lowest polymorph = 0 meV/atom
size of the total moment = 0.000 μB per cell

6.
Entry from the Alexandria database: a geometry-optimized Ta4Tc5W structure (PBE).

a b c (Å): 3.176 3.176 15.895
angles (deg): 90.00 90.00 90.00
Space group P4/mmm (No. 123)
Unique sites:
Ta1 0.000 0.000 0.100 (multiplicity 2)
Ta2 0.000 0.000 0.300 (multiplicity 2)
Tc1 0.500 0.500 0.000 (multiplicity 1)
Tc2 0.500 0.500 0.201 (multiplicity 2)
Tc3 0.500 0.500 0.402 (multiplicity 2)
W1 0.000 0.000 0.500 (multiplicity 1)

Computed properties:
electronic total energy = -11.61 eV per atom
E_form = -0.39 eV/atom
size of the total moment = 0.000 μB per cell